(1)
First-principles (GGA-PBE) data for crystalline GaSb2Au at its relaxed geometry, as listed in Alexandria.

a b c (Å): 3.8785 3.8785 25.7023
angles (deg): 90.00 90.00 120.00
Last column: nearest neighbours and their distance in Å.
Space group R-3m (No. 166, hexagonal axes)
One atom of each set of equivalent atoms:
Ga1 0.0000 0.0000 0.0000 (multiplicity 3)  6 Sb 2.79
Sb1 0.0000 0.0000 0.3982 (multiplicity 6)  1 Au 2.62, 3 Ga 2.79
Au1 0.0000 0.0000 0.5000 (multiplicity 3)  2 Sb 2.62

(2)
First-principles (GGA-PBE) data for crystalline GaSbAu2 at its relaxed geometry, as listed in Alexandria.

a b c (Å): 3.9584 3.9584 19.4905
angles (deg): 90.00 90.00 120.00
Last column: nearest neighbours and their distance in Å.
Space group R3m (No. 160, hexagonal axes)
One atom of each set of equivalent atoms:
Ga1 0.0000 0.0000 0.0000 (multiplicity 3)  6 Au 2.68-2.74
Sb1 0.0000 0.0000 0.1710 (multiplicity 3)  6 Au 2.89-2.92
Au1 0.0000 0.0000 0.5950 (multiplicity 3)  3 Ga 2.68, 3 Sb 2.89, 1 Au 2.91
Au2 0.0000 0.0000 0.7443 (multiplicity 3)  3 Ga 2.74, 1 Au 2.91, 3 Sb 2.92

(3)
First-principles (GGA-PBE) data for crystalline Ga12Sb3Au5 at its relaxed geometry, as listed in Alexandria.

a b c (Å): 15.8868 15.8868 15.8868
angles (deg): 90.00 90.00 90.00
Last column: nearest neighbours and their distance in Å.
Space group Ia-3d (No. 230)
One atom of each set of equivalent atoms:
Ga1 0.0219 0.0677 0.6485 (multiplicity 96)  2 Au 2.54-2.62
Sb1 0.0000 0.2500 0.1250 (multiplicity 24)  8 Ga 2.94-3.03
Au1 0.0000 0.0000 0.0000 (multiplicity 16)  6 Ga 2.62
Au2 0.0000 0.2500 0.3750 (multiplicity 24)  4 Ga 2.54

(4)
First-principles (GGA-PBE) data for crystalline Ga2SbAu2 at its relaxed geometry, as listed in Alexandria.

a b c (Å): 4.0278 4.0278 12.5849
angles (deg): 90.00 90.00 90.00
Last column: nearest neighbours and their distance in Å.
Space group I4/mmm (No. 139)
One atom of each set of equivalent atoms:
Ga1 0.0000 0.5000 0.2500 (multiplicity 4)  4 Au 2.66, 4 Ga 2.85
Sb1 0.0000 0.0000 0.0000 (multiplicity 2)  8 Au 3.17
Au1 0.0000 0.0000 0.3887 (multiplicity 4)  4 Ga 2.66, 1 Au 2.80

Number 1: uncorrected formation energy 0.7 eV per formula unit. Number 2: uncorrected formation energy -0.4 eV per formula unit. Number 3: uncorrected formation energy -0.1 eV per formula unit. Number 4: uncorrected formation energy -0.4 eV per formula unit.